# AcCePdPt | Alexandria via LeMat-Bulk | PBE-GGA | relaxed
# **Calculated formation energy**: -3.2 eV per formula unit
data_AcCePdPt
_cell_length_a 7.376
_cell_length_b 7.376
_cell_length_c 7.376
_cell_angle_alpha 90.00
_cell_angle_beta 90.00
_cell_angle_gamma 90.00
_space_group_name_H-M_alt 'F -4 3 m'
_space_group_IT_number 216
_space_group_name_Hall 'F -4 2 3'
loop_
_atom_site_label
_atom_site_type_symbol
_atom_site_fract_x
_atom_site_fract_y
_atom_site_fract_z
_atom_site_occupancy
Ac1 Ac 0.000 0.000 0.000 1
Ce1 Ce 0.000 0.000 0.500 1
Pd1 Pd 0.250 0.250 0.250 1
Pt1 Pt 0.250 0.250 0.750 1